1.
A plane-wave DFT calculation with PBE was carried out for a relaxed KCrAuS2 crystal.

Output
**Mass density**: 5.29 g/cm³
**Formation energy without anion corrections**: -569 meV per atom
**Crystal system**: orthorhombic

```
KCrAuS2
1.0
5.763 0.000 0.000
0.000 5.697 0.000
0.000 -2.849 6.737
S K Au Cr
4 2 2 2
Direct
0.321 0.111 0.222
0.679 0.889 0.778
0.321 0.389 0.778
0.679 0.611 0.222
0.230 0.750 0.500
0.770 0.250 0.500
0.000 0.000 0.000
0.000 0.500 0.000
0.500 0.750 0.000
0.500 0.250 0.000
```

2.
A plane-wave DFT calculation with PBE was carried out for a relaxed KCrSi2Au crystal.

Output
**Mass density**: 4.23 g/cm³
**Formation energy without anion corrections**: 960 meV per atom
**Crystal system**: tetragonal

```
KCrSi2Au
1.0
4.870 0.000 0.000
0.000 5.696 0.000
0.000 0.000 4.870
Si K Au Cr
2 1 1 1
Direct
0.000 0.000 0.500
0.500 0.000 0.000
0.000 0.500 0.000
0.000 0.000 0.000
0.500 0.500 0.500
```

3.
A plane-wave DFT calculation with PBE was carried out for a relaxed KTaCr2Au crystal.

Output
**Mass density**: 7.79 g/cm³
**Energy of formation**: 2.3413 eV/atom
**Crystal system**: tetragonal

```
KTaCr2Au
1.0
-4.622 -0.534 0.476
0.604 -5.038 0.212
0.450 0.249 4.649
K Cr Au Ta
1 2 1 1
Direct
0.000 0.000 0.000
0.500 0.000 0.000
0.000 0.000 0.500
0.000 0.500 0.000
0.500 0.500 0.500
```

4.
A plane-wave DFT calculation with PBE was carried out for a relaxed K2CrTe4Au crystal.

Output
**Mass density**: 5.04 g/cm³
**Formation energy without anion corrections**: -444 meV per atom
**Crystal system**: orthorhombic

```
K2CrTe4Au
1.0
-1.805 -5.607 -2.365
-1.209 -5.425 5.267
-12.857 0.686 -0.333
K Au Te Cr
4 2 8 2
Direct
0.815 0.000 0.369
0.935 0.500 0.131
0.565 0.500 0.869
0.185 0.000 0.631
0.500 0.000 0.000
0.250 0.500 0.500
0.483 0.712 0.380
0.945 0.788 0.880
0.575 0.288 0.620
0.805 0.712 0.620
0.175 0.212 0.880
0.612 0.212 0.120
0.138 0.288 0.380
0.267 0.788 0.120
0.750 0.500 0.500
0.000 0.000 0.000
```

5.
A plane-wave DFT calculation with PBE was carried out for a relaxed KCrTe3Au crystal.

Output
**Mass density**: 6.33 g/cm³
**Formation energy without anion corrections**: -381 meV per atom
**Crystal system**: monoclinic

```
KCrTe3Au
1.0
4.046 0.000 0.000
0.000 8.775 -0.276
0.000 -3.615 10.027
Au Te Cr K
2 6 2 2
Direct
0.750 0.954 0.392
0.250 0.046 0.608
0.750 0.456 0.128
0.250 0.544 0.872
0.250 0.725 0.418
0.750 0.878 0.122
0.750 0.275 0.582
0.250 0.122 0.878
0.250 0.680 0.150
0.750 0.320 0.850
0.250 0.239 0.289
0.750 0.761 0.711
```

6.
A plane-wave DFT calculation with PBE was carried out for a relaxed LaCrAu crystal.

Output
**Mass density**: 7.39 g/cm³
**Energy of formation**: 0.4696 eV/atom
**Crystal system**: cubic

```
LaCrAu
1.0
4.976 0.000 0.000
2.488 4.309 0.000
2.488 1.436 4.063
Au La Cr
1 1 1
Direct
0.000 0.000 0.000
0.750 0.750 0.750
0.500 0.500 0.500
```